{
  "formula": "PaCoNO",
  "functional": "PBE with a Hubbard U",
  "state": "optimized geometry",
  "space_group": "Pca2_1",
  "e_tot_ev_per_atom": -7.513,
  "total_magnetization_mub_per_atom": 0.319,
  "cell": [[6.478, 0.000, 0.000], [0.000, 7.172, 0.000], [0.000, 0.000, 5.125]],
  "species": ["Co", "Co", "Co", "Co", "O", "O", "O", "O", "N", "N", "N", "N", "Pa", "Pa", "Pa", "Pa"],
  "frac_coords": [[0.596, 0.404, 0.996], [0.904, 0.404, 0.496], [0.096, 0.596, 0.996], [0.404, 0.596, 0.496], [0.599, 0.852, 0.559], [0.901, 0.852, 0.059], [0.099, 0.148, 0.559], [0.401, 0.148, 0.059], [0.877, 0.416, 0.111], [0.377, 0.584, 0.111], [0.123, 0.584, 0.611], [0.623, 0.416, 0.611], [0.961, 0.838, 0.536], [0.461, 0.162, 0.536], [0.039, 0.162, 0.036], [0.539, 0.838, 0.036]]
}